[1]
Sr2InAgPb6 PBE relaxed; N(E_F) = 11.2 states/eV/cell; total magnetic moment = 0.000 Bohr magnetons per cell; total energy = -3.23 eV/atom; SG = R-3m
1.0
6.8510 0.0000 0.0000
3.4255 5.9331 0.0000
3.4255 1.9777 17.6676
Pb In Sr Ag
12 2 4 2
Direct
0.7036 0.2107 0.8750
0.1101 0.6399 0.6101
0.7893 0.7893 0.1250
0.6399 0.6399 0.6101
0.7893 0.2964 0.1250
0.2107 0.7036 0.8750
0.2107 0.2107 0.8750
0.8899 0.3601 0.3899
0.6399 0.1101 0.6101
0.3601 0.8899 0.3899
0.3601 0.3601 0.3899
0.2964 0.7893 0.1250
0.4205 0.4205 0.7386
0.5795 0.5795 0.2614
0.6849 0.6849 0.9453
0.1001 0.1001 0.6998
0.3151 0.3151 0.0547
0.8999 0.8999 0.3002
0.5000 0.5000 0.5000
0.0000 0.0000 0.0000


[2]
InTcHg2 PBE relaxed; N(E_F) = 1.4 states/eV/cell; total magnetic moment = 1.726 Bohr magnetons per cell; total energy = -3.01 eV/atom; SG = P4mm
1.0
3.0547 0.0000 0.0000
0.0000 3.0547 0.0000
0.0000 0.0000 9.1591
In Hg Tc
1 2 1
Direct
0.0000 0.0000 0.5398
0.0000 0.0000 0.9626
0.5000 0.5000 0.2516
0.5000 0.5000 0.7461


[3]
Dy2Pu3N4 PBE relaxed; N(E_F) = 17.6 states/eV/cell; total magnetic moment = 15.737 Bohr magnetons per cell; uncorrected formation energy = -1.202 eV/atom; SG = C2/m
1.0
-3.3717 0.7767 -0.5212
-3.2462 -4.4650 2.6008
-2.1873 2.9667 6.8255
Pu Dy N
3 2 4
Direct
0.0000 0.0000 0.0000
0.7984 0.5983 0.8049
0.2016 0.4017 0.1951
0.6068 0.1763 0.6101
0.3932 0.8237 0.3899
0.6045 0.6996 0.0914
0.7985 0.1000 0.3030
0.2015 0.9000 0.6970
0.3955 0.3004 0.9086


[4]
Tl3Cr5S12 PBE relaxed; N(E_F) = 24.6 states/eV/cell; total magnetic moment = 35.999 Bohr magnetons per cell; uncorrected formation energy = -0.400 eV/atom; SG = Ia-3d
1.0
13.1525 0.0000 0.0000
-4.3842 12.4003 0.0000
-4.3842 -6.2001 10.7389
S Cr Tl
48 20 12
Direct
0.1013 0.9139 0.1087
0.1948 0.5074 0.6087
0.3913 0.3987 0.0861
0.5861 0.6948 0.6874
0.6948 0.5861 0.1874
0.8913 0.5861 0.8987
0.3126 0.5074 0.3987
0.1874 0.1013 0.9926
0.8052 0.4926 0.3913
0.0861 0.8987 0.3913
0.0074 0.6087 0.6948
0.6013 0.9926 0.6874
0.3913 0.9926 0.8052
0.0861 0.1874 0.1948
0.3052 0.8913 0.9926
0.6087 0.6013 0.9139
0.5074 0.1948 0.1087
0.6013 0.6087 0.4139
0.3126 0.8052 0.4139
0.6874 0.1948 0.5861
0.8913 0.3052 0.4926
0.9926 0.3913 0.3052
0.4139 0.1087 0.6013
0.1948 0.6874 0.0861
0.1087 0.4139 0.1013
0.8052 0.3126 0.9139
0.9139 0.8126 0.8052
0.4926 0.8052 0.8913
0.1087 0.6948 0.5074
0.4926 0.6874 0.1013
0.5861 0.8913 0.3987
0.6087 0.0074 0.1948
0.8987 0.0861 0.8913
0.3052 0.4139 0.8126
0.9926 0.6013 0.1874
0.8987 0.8126 0.5074
0.1013 0.1874 0.4926
0.6948 0.1087 0.0074
0.3987 0.3913 0.5861
0.0074 0.3987 0.8126
0.5074 0.3126 0.8987
0.8126 0.9139 0.3052
0.1874 0.0861 0.6948
0.8126 0.8987 0.0074
0.6874 0.4926 0.6013
0.4139 0.3052 0.3126
0.3987 0.0074 0.3126
0.9139 0.1013 0.6087
0.3750 0.2500 0.1250
0.2500 0.3750 0.6250
0.0000 0.5000 0.0000
0.5000 0.0000 0.5000
0.7500 0.1250 0.8750
0.5000 0.5000 0.5000
0.3750 0.1250 0.7500
0.6250 0.8750 0.2500
0.5000 0.0000 0.0000
0.0000 0.0000 0.5000
0.1250 0.7500 0.3750
0.8750 0.2500 0.6250
0.5000 0.5000 0.0000
0.8750 0.6250 0.7500
0.6250 0.7500 0.8750
0.0000 0.5000 0.5000
0.2500 0.8750 0.1250
0.0000 0.0000 0.0000
0.7500 0.6250 0.3750
0.1250 0.3750 0.2500
0.1250 0.8750 0.7500
0.7500 0.8750 0.6250
0.3750 0.6250 0.2500
0.1250 0.2500 0.8750
0.8750 0.1250 0.2500
0.3750 0.7500 0.6250
0.6250 0.2500 0.3750
0.6250 0.3750 0.7500
0.2500 0.6250 0.8750
0.2500 0.1250 0.3750
0.8750 0.7500 0.1250
0.7500 0.3750 0.1250


[5]
Y3ScIr PBE relaxed; N(E_F) = 7.4 states/eV/cell; total magnetic moment = 0.516 Bohr magnetons per cell; E above lowest polymorph = 1297 meV/atom; SG = Pm-3m
1.0
5.1526 0.0000 0.0000
0.0000 5.1526 0.0000
0.0000 0.0000 5.1526
Y Ir Sc
3 1 1
Direct
0.5000 0.0000 0.0000
0.0000 0.0000 0.5000
0.0000 0.5000 0.0000
0.5000 0.5000 0.5000
0.0000 0.0000 0.0000


[6]
IrPbCl2 PBE relaxed; N(E_F) = 1.6 states/eV/cell; total magnetic moment = 0.000 Bohr magnetons per cell; E above lowest polymorph = 56 meV/atom; uncorrected formation energy = -0.044 eV/atom; SG = Immm
1.0
6.3659 0.0107 0.0030
3.0794 5.5716 -0.0030
-4.0228 -3.9754 2.9221
Pb Cl Ir
1 2 1
Direct
0.2500 0.7500 0.5000
0.6009 0.6009 0.0000
0.8991 0.8991 0.0000
0.7500 0.2500 0.5000


[7]
YSbAuI2 PBE relaxed; N(E_F) = 2.8 states/eV/cell; total magnetic moment = 0.000 Bohr magnetons per cell; E above lowest polymorph = 136 meV/atom; uncorrected formation energy = 0.113 eV/atom; SG = P4/mmm
1.0
5.4559 0.0000 0.0000
0.0000 5.4559 0.0000
0.0000 0.0000 5.6947
I Y Sb Au
2 1 1 1
Direct
0.5000 0.0000 0.0000
0.0000 0.5000 0.0000
0.5000 0.5000 0.5000
0.0000 0.0000 0.5000
0.0000 0.0000 0.0000


[8]
Sc4GaCo2Cu PBE relaxed; N(E_F) = 6.5 states/eV/cell; total magnetic moment = 0.007 Bohr magnetons per cell; total energy = -6.21 eV/atom; SG = R-3m
1.0
-0.5577 4.4931 0.4075
-0.3730 1.8795 4.1223
7.0790 3.0178 1.7712
Sc Cu Co Ga
4 1 2 1
Direct
0.6223 0.6223 0.1331
0.1272 0.1272 0.6184
0.8728 0.8728 0.3816
0.3777 0.3777 0.8669
0.5000 0.5000 0.5000
0.7486 0.7486 0.7543
0.2514 0.2514 0.2457
0.0000 0.0000 0.0000


[9]
CuAg2Ir PBE relaxed; N(E_F) = 2.6 states/eV/cell; total magnetic moment = 0.000 Bohr magnetons per cell; E above lowest polymorph = 129 meV/atom; SG = Pmmm
1.0
2.8517 0.0000 0.0000
0.0000 4.6212 0.0000
0.0000 0.0000 4.7259
Ir Ag Cu
1 2 1
Direct
0.0000 0.5000 0.5000
0.0000 0.0000 0.0000
0.5000 0.5000 0.0000
0.5000 0.0000 0.5000


[10]
YTlTe2N PBE relaxed; N(E_F) = 1.6 states/eV/cell; total magnetic moment = 1.354 Bohr magnetons per cell; E above lowest polymorph = 487 meV/atom; uncorrected formation energy = 0.512 eV/atom; SG = P4/mmm
1.0
-1.6795 -4.3818 3.4617
-3.3661 -2.0900 -4.2785
3.2585 -2.3625 -1.4095
Te N Y Tl
2 1 1 1
Direct
0.0000 0.5000 0.0000
0.5000 0.0000 0.0000
0.0000 0.0000 0.5000
0.5000 0.5000 0.5000
0.0000 0.0000 0.0000


Q: N(E_F) of number 7 (YSbAuI2)?
A: 2.8 states/eV/cell


Repeat the third record exactly.
Dy2Pu3N4 PBE relaxed; N(E_F) = 17.6 states/eV/cell; total magnetic moment = 15.737 Bohr magnetons per cell; uncorrected formation energy = -1.202 eV/atom; SG = C2/m
1.0
-3.3717 0.7767 -0.5212
-3.2462 -4.4650 2.6008
-2.1873 2.9667 6.8255
Pu Dy N
3 2 4
Direct
0.0000 0.0000 0.0000
0.7984 0.5983 0.8049
0.2016 0.4017 0.1951
0.6068 0.1763 0.6101
0.3932 0.8237 0.3899
0.6045 0.6996 0.0914
0.7985 0.1000 0.3030
0.2015 0.9000 0.6970
0.3955 0.3004 0.9086


Repeat the first record exactly.
Sr2InAgPb6 PBE relaxed; N(E_F) = 11.2 states/eV/cell; total magnetic moment = 0.000 Bohr magnetons per cell; total energy = -3.23 eV/atom; SG = R-3m
1.0
6.8510 0.0000 0.0000
3.4255 5.9331 0.0000
3.4255 1.9777 17.6676
Pb In Sr Ag
12 2 4 2
Direct
0.7036 0.2107 0.8750
0.1101 0.6399 0.6101
0.7893 0.7893 0.1250
0.6399 0.6399 0.6101
0.7893 0.2964 0.1250
0.2107 0.7036 0.8750
0.2107 0.2107 0.8750
0.8899 0.3601 0.3899
0.6399 0.1101 0.6101
0.3601 0.8899 0.3899
0.3601 0.3601 0.3899
0.2964 0.7893 0.1250
0.4205 0.4205 0.7386
0.5795 0.5795 0.2614
0.6849 0.6849 0.9453
0.1001 0.1001 0.6998
0.3151 0.3151 0.0547
0.8999 0.8999 0.3002
0.5000 0.5000 0.5000
0.0000 0.0000 0.0000